Pr12H5Au3 (GGA-PBE, optimized geometry); SG = Ia-3d (230); DFT total energy = -4.56 eV per atom
1.0
13.858 0.000 0.000
-4.619 13.065 0.000
-4.619 -6.533 11.315
Au H Pr
12 20 48
Cartesian
1.155 -0.817 4.243
-3.464 2.450 9.901
8.084 4.083 1.414
10.393 0.000 2.829
-1.155 5.716 7.072
3.464 0.000 8.486
3.464 7.349 7.072
-5.774 6.533 8.486
1.155 6.533 2.829
5.774 0.817 4.243
-3.464 -2.450 9.901
8.084 8.982 1.414
-1.155 10.616 1.414
1.155 -3.266 8.486
5.774 -4.083 9.901
2.310 3.266 5.658
-1.155 0.817 7.072
4.619 6.533 0.000
-2.310 6.533 0.000
-3.464 7.349 4.243
6.929 0.000 0.000
4.619 -3.266 5.658
-2.310 -3.266 5.658
3.464 2.450 1.414
5.774 3.266 8.486
8.084 -0.817 7.072
0.000 0.000 0.000
5.774 5.716 4.243
3.464 9.799 2.829
1.155 4.083 9.901
-4.619 3.266 5.658
-1.155 3.266 2.829
3.031 4.677 1.112
2.312 8.931 4.607
-1.090 -3.362 8.046
1.813 4.776 7.820
8.019 -4.512 10.038
-4.617 9.323 4.381
3.529 5.383 4.546
6.433 7.171 5.883
2.806 1.757 3.495
8.742 0.638 5.432
-4.622 5.189 11.089
4.622 2.399 6.708
1.589 -1.891 10.264
5.709 2.021 1.277
5.340 -1.855 10.203
1.090 1.150 6.769
6.208 6.568 2.163
5.340 1.891 10.264
-4.123 5.894 5.883
9.241 1.344 0.226
-0.721 8.388 1.112
-5.839 3.362 8.046
6.927 11.722 0.226
-2.806 7.651 8.926
-3.400 11.044 1.277
6.927 3.743 4.381
-1.813 -0.638 5.432
3.031 8.423 1.051
5.116 5.414 8.926
9.236 -2.790 6.934
2.307 -2.399 6.708
-1.589 -0.035 9.152
1.589 1.855 10.203
-0.496 1.118 2.389
-0.721 4.642 1.051
0.496 8.289 7.820
4.123 -1.757 3.495
9.960 6.497 2.163
-5.340 0.035 9.152
-1.220 7.683 4.546
-2.307 2.790 6.934
10.458 3.171 3.269
5.709 9.894 3.269
5.839 -1.150 6.769
-1.090 4.512 10.038
-2.307 -5.189 11.089
-0.002 4.134 4.607
7.425 -1.118 2.389